Entry from Alexandria via LeMat-Bulk: crystalline Ho12Tm6Th at its relaxed geometry (PBE).

```
data_Ho12Tm6Th
_chemical_formula_sum 'Ho36 Tm18 Th3'
_cell_length_a 11.7800
_cell_length_b 11.7800
_cell_length_c 15.0171
_cell_angle_alpha 90.00
_cell_angle_beta 90.00
_cell_angle_gamma 120.00
_symmetry_space_group_name_H-M 'R -3'
_symmetry_Int_Tables_number 148
_symmetry_space_group_name_Hall '-R 3'
loop_
_atom_site_label
_atom_site_type_symbol
_atom_site_fract_x
_atom_site_fract_y
_atom_site_fract_z
Ho1 Ho 0.0189 0.8381 0.1895
Ho2 Ho 0.0427 0.8525 0.4148
Tm1 Tm 0.0107 0.4244 0.6790
Th1 Th 0.0000 0.0000 0.0000
```

energy relative to the lowest polymorph listed for this composition	0	meV/atom
total magnetic moment	0.0	μB/f.u.